Record 1
Here is Ta2Sn2Rh after structural relaxation from Alexandria via LeMat-Bulk. Energies are from GGA-PBE.

It has space group I4/mmm (No. 139), with a = 3.868 Å, b = 3.868 Å, c = 14.088 Å, α = 90.00°, β = 90.00° and γ = 90.00°. The inequivalent atoms are Ta at (0.000, 0.000, 0.090), Sn at (0.000, 0.500, 0.250) and Rh at (0.000, 0.000, 0.500).

The offset from the most stable computed form is 410.5 meV/atom.

=====

Record 2
Here is Y2TaSnRh after structural relaxation from Alexandria via LeMat-Bulk. Energies are from GGA-PBE.

It has space group P4/mmm (No. 123), with a = 5.504 Å, b = 5.504 Å, c = 4.671 Å, α = 90.00°, β = 90.00° and γ = 90.00°. The inequivalent atoms are Y at (0.000, 0.500, 0.000), Ta at (0.000, 0.000, 0.000), Sn at (0.500, 0.500, 0.500) and Rh at (0.000, 0.000, 0.500).

=====

Record 3
Here is Tb5SnRh2 after structural relaxation from Alexandria via LeMat-Bulk. Energies are from GGA-PBE.

It has space group I4/mcm (No. 140), with a = 7.810 Å, b = 7.810 Å, c = 13.452 Å, α = 90.00°, β = 90.00° and γ = 90.00°. The inequivalent atoms are Tb at (0.000, 0.000, 0.000), Tb at (0.159, 0.341, 0.136), Sn at (0.000, 0.000, 0.250) and Rh at (0.139, 0.361, 0.500).

=====

Record 4
Here is TbSn6Rh after structural relaxation from Alexandria via LeMat-Bulk. Energies are from GGA-PBE.

It has space group C2/m (No. 12), with a = 6.369 Å, b = 10.857 Å, c = 6.513 Å, α = 90.00°, β = 114.38° and γ = 90.00°. The inequivalent atoms are Tb at (0.000, 0.000, 0.000), Sn at (0.049, 0.500, 0.281), Sn at (0.121, 0.225, 0.748) and Rh at (0.000, 0.000, 0.500).

=====

Record 5
Here is Tb6SnRh2 after structural relaxation from Alexandria via LeMat-Bulk. Energies are from GGA-PBE.

It has space group Immm (No. 71), with a = 9.422 Å, b = 9.699 Å, c = 10.442 Å, α = 90.00°, β = 90.00° and γ = 90.00°. The inequivalent atoms are Tb at (0.000, 0.203, 0.236), Tb at (0.192, 0.500, 0.170), Tb at (0.210, 0.319, 0.500), Sn at (0.000, 0.000, 0.000), Sn at (0.000, 0.000, 0.500), Rh at (0.000, 0.335, 0.000) and Rh at (0.000, 0.500, 0.367).

=====

Record 6
Here is Tb8Sn2Rh after structural relaxation from Alexandria via LeMat-Bulk. Energies are from GGA-PBE.

It has space group C2/m (No. 12), with a = 19.228 Å, b = 4.967 Å, c = 6.742 Å, α = 90.00°, β = 104.16° and γ = 90.00°. The inequivalent atoms are Tb at (0.018, 0.000, 0.282), Tb at (0.091, 0.500, 0.968), Tb at (0.145, 0.500, 0.502), Tb at (0.217, 0.000, 0.823), Sn at (0.182, 0.000, 0.261) and Rh at (0.000, 0.500, 0.500).

=====

Record 7
Here is Tb3SnRh3 after structural relaxation from Alexandria via LeMat-Bulk. Energies are from GGA-PBE.

It has space group Cmcm (No. 63), with a = 4.402 Å, b = 10.370 Å, c = 13.283 Å, α = 90.00°, β = 90.00° and γ = 90.00°. The inequivalent atoms are Tb at (0.000, 0.022, 0.250), Tb at (0.000, 0.300, 0.106), Sn at (0.000, 0.000, 0.000), Rh at (0.000, 0.247, 0.750) and Rh at (0.000, 0.408, 0.594).

The offset from the most stable computed form is 0.0 meV/atom.

=====

Record 8
Here is Tb3Sn4Rh8 after structural relaxation from Alexandria via LeMat-Bulk. Energies are from GGA-PBE.

It has space group Fm-3m (No. 225), with a = 13.066 Å, b = 13.066 Å, c = 13.066 Å, α = 90.00°, β = 90.00° and γ = 90.00°. The inequivalent atoms are Tb at (0.000, 0.000, 0.231), Sn at (0.000, 0.000, 0.000), Sn at (0.000, 0.000, 0.500), Sn at (0.000, 0.250, 0.250), Rh at (0.121, 0.121, 0.379) and Rh at (0.170, 0.170, 0.170).

=====

Computed formation energy from the elements, in the same sequence as the records: 0.673, 0.429, -0.702, -0.217, -0.629, -0.450, -0.821, -0.687 eV per atom.